No. 1
This record from the Alexandria database describes a relaxed RbMgV crystal. The functional is PBE-GGA.

```
RbMgV
1.0
3.317 0.000 0.000
0.000 4.811 0.000
-0.869 -2.372 12.843
Rb Mg V
2 2 2
Direct
0.000 0.000 0.000
0.276 0.328 0.663
0.320 0.615 0.230
0.960 0.715 0.432
0.492 0.195 0.394
0.788 0.134 0.269
```

Output
- Energy: -0.2483 Ry per atom
- Energy above the most stable polymorph in this dataset: 16.1 meV/atom
- Symmetry: P1
- E_form: 515 meV/atom
- V: 205.0 Å³ per cell


No. 2
This record from the Alexandria database describes a relaxed RbMgV crystal. The functional is PBE-GGA.

```
RbMgV
1.0
3.157 0.000 0.000
-1.460 7.708 0.000
-1.304 -1.880 7.711
Rb Mg V
2 2 2
Direct
0.000 0.000 0.000
0.196 0.136 0.529
0.376 0.523 0.937
0.820 0.613 0.593
0.286 0.679 0.291
0.906 0.456 0.239
```

Output
- Energy: -0.2412 Ry per atom
- Energy above the most stable polymorph in this dataset: 112.7 meV/atom
- Symmetry: P1
- E_form: 612 meV/atom
- V: 187.6 Å³ per cell


No. 3
This record from the Alexandria database describes a relaxed RbMgV crystal. The functional is PBE-GGA.

```
RbMgV
1.0
5.602 0.000 0.000
-2.801 4.851 0.000
0.000 0.000 8.258
Rb Mg V
2 2 2
Direct
0.000 0.000 0.000
0.000 0.000 0.500
0.667 0.333 0.177
0.667 0.333 0.823
0.333 0.667 0.110
0.333 0.667 0.890
```

Output
- Energy: -0.2178 Ry per atom
- Energy above the most stable polymorph in this dataset: 430.3 meV/atom
- Symmetry: P-6m2
- E_form: 930 meV/atom
- V: 224.4 Å³ per cell